Record 1
TaP2Br: optimized geometry, GGA-PBE.

Structure (POSCAR):
```
TaP2Br
1.0
5.421 0.005 0.002
1.602 5.179 -0.002
-2.468 -4.006 2.693
Br P Ta
1 2 1
direct
0.279 0.779 0.500 Br
0.948 0.948 0.000 P
0.756 0.256 0.500 P
0.517 0.517 0.000 Ta
```

- polymorph energy (0 for the lowest one) (kcal/mol of atoms) = 17.98
- E_form (uncorrected) (eV per formula unit) = 1.68
- SG = Imm2

Record 2
Ta6C7: optimized geometry, GGA-PBE.

Structure (POSCAR):
```
Ta6C7
1.0
-4.192 -7.241 -2.726
-0.379 -8.746 -0.896
-3.873 -7.711 1.727
Ta C
6 7
direct
0.196 0.196 0.196 Ta
0.927 0.927 0.927 Ta
0.678 0.678 0.678 Ta
0.804 0.804 0.804 Ta
0.322 0.322 0.322 Ta
0.073 0.073 0.073 Ta
0.526 0.168 0.526 C
0.526 0.526 0.168 C
0.474 0.474 0.832 C
0.832 0.474 0.474 C
0.168 0.526 0.526 C
0.500 0.500 0.500 C
0.474 0.832 0.474 C
```

- E_form (eV/atom) = 0.58
- SG = R-3m

Record 3
AsH2Pt: optimized geometry, GGA-PBE.

Structure (POSCAR):
```
AsH2Pt
1.0
-5.567 -0.346 -1.128
1.170 -0.920 -5.493
-2.122 -3.452 -2.822
H As Pt
4 2 2
direct
0.759 0.125 0.250 H
0.991 0.625 0.250 H
0.375 0.241 0.750 H
0.875 0.009 0.750 H
0.250 0.750 0.500 As
0.500 0.500 0.000 As
0.750 0.250 0.500 Pt
0.000 0.000 0.000 Pt
```

- polymorph energy (0 for the lowest one) (kcal/mol of atoms) = 0.00
- SG = I-42d

Record 4
SrMgSe2: optimized geometry, GGA-PBE.

Structure (POSCAR):
```
SrMgSe2
1.0
4.097 -0.052 0.000
-1.920 3.620 0.000
0.000 0.000 7.709
Mg Sr Se
1 1 2
direct
0.500 0.500 0.750 Mg
0.500 0.500 0.250 Sr
0.000 0.000 0.525 Se
0.000 0.000 0.975 Se
```

- E_form (uncorrected) (eV per formula unit) = -5.07
- SG = Cmmm

Record 5
Co6Ge: optimized geometry, GGA-PBE.

Structure (POSCAR):
```
Co6Ge
1.0
-3.190 4.046 0.746
-0.783 -3.539 3.738
4.941 1.633 0.163
Co Ge
6 1
direct
0.500 0.750 0.250 Co
0.750 0.500 0.250 Co
0.250 0.750 0.500 Co
0.750 0.250 0.500 Co
0.250 0.500 0.750 Co
0.500 0.250 0.750 Co
0.000 0.000 0.000 Ge
```

- E_form (eV/atom) = 1.12
- SG = Im-3m

Record 6
Sc2TlPt: optimized geometry, GGA-PBE.

Structure (POSCAR):
```
Sc2TlPt
1.0
-4.896 2.176 1.444
-4.508 -2.853 -1.526
4.787 -1.144 2.563
Sc Tl Pt
2 1 1
direct
0.250 0.750 0.500 Sc
0.000 0.000 0.000 Sc
0.500 0.500 0.000 Tl
0.750 0.250 0.500 Pt
```

- E_form (eV/atom) = -0.56
- SG = I-4m2

Record 7
KCo2As: optimized geometry, GGA-PBE.

Structure (POSCAR):
```
KCo2As
1.0
-1.133 3.309 1.638
-0.206 -1.357 2.599
6.505 0.885 2.713
K Co As
1 2 1
direct
0.000 0.568 0.505 K
0.000 0.788 0.041 Co
0.500 0.252 0.112 Co
0.500 0.893 0.842 As
```

- E_form (eV/atom) = 0.21
- SG = Pm

Record 8
Zr2ScCu: optimized geometry, GGA-PBE.

Structure (POSCAR):
```
Zr2ScCu
1.0
4.407 0.000 0.000
0.000 4.275 0.000
0.000 0.000 4.275
Cu Sc Zr
1 1 2
direct
0.500 0.500 0.000 Cu
0.500 0.000 0.500 Sc
0.000 0.000 0.000 Zr
0.000 0.500 0.500 Zr
```

- E_form (eV/atom) = 0.05
- polymorph energy (0 for the lowest one) (kcal/mol of atoms) = 3.78
- SG = P4/mmm